The following is a DFT calculation (PBE-GGA) of a geometry-optimized Rb5ThO5 structure.

The space group is C2/m (No. 12) and the conventional cell measures 13.072, 5.389 and 7.832 Å, with angles of 90.00, 109.60 and 90.00 degrees. The distinct sites, in fractional coordinates, are Rb at (0.000, 0.000, 0.000), Rb at (0.173, 0.500, 0.343), Rb at (0.191, 0.500, 0.811), Th at (0.000, 0.000, 0.500), O at (0.000, 0.500, 0.500), O at (0.127, 0.000, 0.365) and O at (0.131, 0.000, 0.777).

For the uncorrected energy, the calculation gives -5.12 eV/atom. As for the calculated density: 4.724 g/cm³.

=====

The following is a DFT calculation (PBE-GGA) of a geometry-optimized PaPd4Pt structure.

The space group is Cmmm (No. 65) and the conventional cell measures 4.150, 11.946 and 4.152 Å, with angles of 90.00, 90.00 and 90.00 degrees. The distinct sites, in fractional coordinates, are Pa at (0.000, 0.000, 0.000), Pd at (0.000, 0.168, 0.500), Pd at (0.000, 0.337, 0.000) and Pt at (0.000, 0.500, 0.500).

The calculation puts the energy above the lowest structure with this stoichiometry at 0 meV per atom. The calculation puts the formation enthalpy at 0 K at -407 kJ/mol of formula units. For the uncorrected energy, the calculation gives -6.76 eV/atom. As for the calculated density: 13.742 g/cm³.